This record from Alexandria describes a geometry-optimized Ba3Li2In2 structure. The functional is PBE.

The structure in POSCAR format:
```
Ba3Li2In2
1.0
-1.519 0.414 4.226
-4.982 0.695 -1.859
1.552 -11.497 -0.722
Ba Li In
3 2 2
Direct
0.190 0.690 0.381
0.810 0.310 0.619
0.000 0.000 0.000
0.430 0.430 0.860
0.570 0.570 0.140
0.634 0.134 0.267
0.366 0.866 0.733
```

Properties
**Energy**: -16.64 eV per formula unit
**E_form**: -1.566 eV per formula unit
**N(E_F)**: 0.950 states/eV/atom
**SG**: Immm


This record from Alexandria describes a geometry-optimized Pu12FeRh6 structure. The functional is PBE.

The structure in POSCAR format:
```
Pu12FeRh6
1.0
-0.437 3.294 6.468
-6.899 1.341 -1.867
-1.324 -6.665 2.588
Pu Rh Fe
12 6 1
Direct
0.921 0.849 0.608
0.408 0.823 0.534
0.392 0.079 0.151
0.849 0.608 0.921
0.592 0.177 0.466
0.608 0.921 0.849
0.177 0.466 0.592
0.466 0.592 0.177
0.823 0.534 0.408
0.534 0.408 0.823
0.079 0.151 0.392
0.151 0.392 0.079
0.234 0.745 0.894
0.106 0.766 0.255
0.745 0.894 0.234
0.894 0.234 0.745
0.255 0.106 0.766
0.766 0.255 0.106
0.000 0.000 0.000
```

Properties
**Energy**: -228.52 eV per formula unit
**E_form**: -3.964 eV per formula unit
**N(E_F)**: 3.136 states/eV/atom
**SG**: R-3


This record from Alexandria describes a geometry-optimized Y2MoPt structure. The functional is PBE.

The structure in POSCAR format:
```
Y2MoPt
1.0
0.197 -1.637 4.653
0.543 3.199 3.721
-3.759 0.862 3.082
Y Mo Pt
2 1 1
Direct
0.750 0.750 0.750
0.250 0.250 0.250
0.000 0.000 0.000
0.500 0.500 0.500
```

Properties
**Energy**: -30.65 eV per formula unit
**E_form**: -0.847 eV per formula unit
**N(E_F)**: 1.694 states/eV/atom
**Energy relative to the lowest polymorph listed for this composition**: 104 meV per atom
**SG**: Fm-3m


This record from Alexandria describes a geometry-optimized PmBi4Sb structure. The functional is PBE.

The structure in POSCAR format:
```
PmBi4Sb
1.0
-5.864 -1.710 -2.217
-0.592 -2.684 -5.888
-1.554 -6.284 -0.565
Bi Sb Pm
4 1 1
Direct
0.626 0.626 0.626
0.626 0.626 0.123
0.626 0.123 0.626
0.123 0.626 0.626
0.000 0.000 0.000
0.250 0.250 0.250
```

Properties
**Energy**: -24.45 eV per formula unit
**N(E_F)**: 0.895 states/eV/atom
**ΔE_f (raw)**: -0.01 eV per atom
**SG**: F-43m


This record from Alexandria describes a geometry-optimized CoHPdAu2 structure. The functional is PBE.

The structure in POSCAR format:
```
CoHPdAu2
1.0
-2.031 -0.367 4.031
2.841 -3.342 1.126
2.051 2.157 1.229
H Au Pd Co
1 2 1 1
Direct
0.000 0.000 0.000
0.500 0.000 0.000
0.000 0.500 0.000
0.500 0.500 0.500
0.000 0.000 0.500
```

Properties
**Energy**: -21.13 eV per formula unit
**N(E_F)**: 0.946 states/eV/atom
**SG**: P4/mmm


This record from Alexandria describes a geometry-optimized NaLi2GaH structure. The functional is PBE.

The structure in POSCAR format:
```
NaLi2GaH
1.0
4.206 0.000 0.000
0.000 4.206 0.000
0.000 0.000 4.487
Li Na H Ga
2 1 1 1
Direct
0.500 0.000 0.000
0.000 0.500 0.000
0.000 0.000 0.500
0.000 0.000 0.000
0.500 0.500 0.500
```

Properties
**Energy**: -11.97 eV per formula unit
**N(E_F)**: 0.393 states/eV/atom
**Energy relative to the lowest polymorph listed for this composition**: 0 meV per atom
**SG**: P4/mmm


| no. | V (Å³ per atom) |
| --- | --- |
| 1 | 38.291 |
| 2 | 19.990 |
| 3 | 21.268 |
| 4 | 32.329 |
| 5 | 13.210 |
| 6 | 15.875 |